[1]
KNpTlTe3 | GGA-PBE | optimized geometry

Output
The value obtained for the total energy is -59.4 eV for the cell shown. For the uncorrected formation energy, the calculation gives -3.874 eV/f.u.

```
data_KNpTlTe3
_chemical_formula_sum 'K2 Np2 Tl2 Te6'
_cell_length_a 9.714
_cell_length_b 4.528
_cell_length_c 10.549
_cell_angle_alpha 90.00
_cell_angle_beta 100.69
_cell_angle_gamma 90.00
_symmetry_space_group_name_H-M 'P 1 21/m 1'
_symmetry_Int_Tables_number 11
loop_
_symmetry_equiv_pos_as_xyz
'x,y,z'
'-x,-y,-z'
'-x,y+1/2,-z'
'x,-y+1/2,z'
loop_
_atom_site_label
_atom_site_type_symbol
_atom_site_fract_x
_atom_site_fract_y
_atom_site_fract_z
K1 K 0.163 0.250 0.198
Np1 Np 0.357 0.750 0.843
Tl1 Tl 0.132 0.250 0.542
Te1 Te 0.136 0.250 0.841
Te2 Te 0.357 0.750 0.561
Te3 Te 0.424 0.750 0.141
```

[2]
CdPd4Au | GGA-PBE | optimized geometry

Output
The value obtained for the total energy is -52.2 eV for the cell shown. The formation energy is -0.19 eV per atom.

```
data_CdPd4Au
_chemical_formula_sum 'Cd2 Pd8 Au2'
_cell_length_a 4.876
_cell_length_b 5.804
_cell_length_c 6.980
_cell_angle_alpha 90.00
_cell_angle_beta 91.80
_cell_angle_gamma 90.00
_symmetry_space_group_name_H-M 'P 1 21/m 1'
_symmetry_Int_Tables_number 11
loop_
_symmetry_equiv_pos_as_xyz
'x,y,z'
'-x,-y,-z'
'-x,y+1/2,-z'
'x,-y+1/2,z'
loop_
_atom_site_label
_atom_site_type_symbol
_atom_site_fract_x
_atom_site_fract_y
_atom_site_fract_z
Cd1 Cd 0.175 0.250 0.331
Pd1 Pd 0.000 0.000 0.000
Pd2 Pd 0.328 0.000 0.671
Pd3 Pd 0.498 0.750 0.002
Au1 Au 0.175 0.750 0.332
```

[3]
La2TbTl | GGA-PBE | optimized geometry

Output
The value obtained for the total energy is -17.7 eV for the cell shown. The formation energy is -0.21 eV per atom.

```
data_La2TbTl
_chemical_formula_sum 'La2 Tb1 Tl1'
_cell_length_a 4.925
_cell_length_b 4.925
_cell_length_c 5.160
_cell_angle_alpha 90.00
_cell_angle_beta 90.00
_cell_angle_gamma 90.00
_symmetry_space_group_name_H-M 'P 4/m m m'
_symmetry_Int_Tables_number 123
_symmetry_space_group_name_Hall '-P 4 2'
loop_
_atom_site_label
_atom_site_type_symbol
_atom_site_fract_x
_atom_site_fract_y
_atom_site_fract_z
La1 La 0.000 0.500 0.000
Tb1 Tb 0.000 0.000 0.500
Tl1 Tl 0.500 0.500 0.500
```

[4]
Li2ScCd | GGA-PBE | optimized geometry

Output
The value obtained for the total energy is -33.1 eV for the cell shown. The formation energy is 0.01 eV per atom.

```
data_Li2ScCd
_chemical_formula_sum 'Li6 Sc3 Cd3'
_cell_length_a 3.0898
_cell_length_b 3.0898
_cell_length_c 30.6677
_cell_angle_alpha 90.00
_cell_angle_beta 90.00
_cell_angle_gamma 120.00
_symmetry_space_group_name_H-M 'R -3 m'
_symmetry_Int_Tables_number 166
_symmetry_space_group_name_Hall '-R 3 2"'
loop_
_atom_site_label
_atom_site_type_symbol
_atom_site_fract_x
_atom_site_fract_y
_atom_site_fract_z
Li1 Li 0.0000 0.0000 0.2468
Sc1 Sc 0.0000 0.0000 0.0000
Cd1 Cd 0.0000 0.0000 0.5000
```

[5]
K3Sm2USe6 | GGA-PBE | optimized geometry

Output
The value obtained for the total energy is -127.5 eV for the cell shown. For the uncorrected formation energy, the calculation gives -18.831 eV/f.u.

```
data_K3Sm2USe6
_chemical_formula_sum 'K6 Sm4 U2 Se12'
_cell_length_a 7.423
_cell_length_b 12.856
_cell_length_c 8.101
_cell_angle_alpha 90.00
_cell_angle_beta 107.78
_cell_angle_gamma 90.00
_symmetry_space_group_name_H-M 'C 1 2/m 1'
_symmetry_Int_Tables_number 12
loop_
_symmetry_equiv_pos_as_xyz
'x,y,z'
'-x,-y,-z'
'-x,y,-z'
'x,-y,z'
'x+1/2,y+1/2,z'
'-x+1/2,-y+1/2,-z'
'-x+1/2,y+1/2,-z'
'x+1/2,-y+1/2,z'
loop_
_atom_site_label
_atom_site_type_symbol
_atom_site_fract_x
_atom_site_fract_y
_atom_site_fract_z
K1 K 0.000 0.000 0.000
K2 K 0.000 0.332 0.000
Sm1 Sm 0.000 0.167 0.500
U1 U 0.000 0.500 0.500
Se1 Se 0.235 0.334 0.709
Se2 Se 0.239 0.000 0.710
```

[6]
LaTl2Pt | GGA-PBE | optimized geometry

Output
The value obtained for the total energy is -16.7 eV for the cell shown. The formation energy is -0.26 eV per atom.

```
data_LaTl2Pt
_chemical_formula_sum 'La1 Tl2 Pt1'
_cell_length_a 3.639
_cell_length_b 3.651
_cell_length_c 7.411
_cell_angle_alpha 90.00
_cell_angle_beta 90.00
_cell_angle_gamma 90.00
_symmetry_space_group_name_H-M 'P m m m'
_symmetry_Int_Tables_number 47
loop_
_symmetry_equiv_pos_as_xyz
'x,y,z'
'-x,-y,-z'
'-x,-y,z'
'x,y,-z'
'x,-y,-z'
'-x,y,z'
'-x,y,-z'
'x,-y,z'
loop_
_atom_site_label
_atom_site_type_symbol
_atom_site_fract_x
_atom_site_fract_y
_atom_site_fract_z
La1 La 0.000 0.000 0.000
Tl1 Tl 0.500 0.500 0.295
Pt1 Pt 0.000 0.000 0.500
```

[7]
KLa2Rh | GGA-PBE | optimized geometry

Output
The value obtained for the total energy is -70.2 eV for the cell shown. The formation energy is 0.19 eV per atom.

```
data_KLa2Rh
_chemical_formula_sum 'K4 La8 Rh4'
_cell_length_a 7.672
_cell_length_b 7.672
_cell_length_c 7.672
_cell_angle_alpha 90.00
_cell_angle_beta 90.00
_cell_angle_gamma 90.00
_symmetry_space_group_name_H-M 'F m -3 m'
_symmetry_Int_Tables_number 225
_symmetry_space_group_name_Hall '-F 4 2 3'
loop_
_atom_site_label
_atom_site_type_symbol
_atom_site_fract_x
_atom_site_fract_y
_atom_site_fract_z
K1 K 0.000 0.000 0.000
La1 La 0.250 0.250 0.250
Rh1 Rh 0.000 0.000 0.500
```

[8]
LiAcTbPr | GGA-PBE | optimized geometry

Output
The value obtained for the total energy is -57.9 eV for the cell shown. The formation energy is 0.24 eV per atom.

```
data_LiAcTbPr
_chemical_formula_sum 'Li4 Ac4 Tb4 Pr4'
_cell_length_a 8.183
_cell_length_b 8.183
_cell_length_c 8.183
_cell_angle_alpha 90.00
_cell_angle_beta 90.00
_cell_angle_gamma 90.00
_symmetry_space_group_name_H-M 'F -4 3 m'
_symmetry_Int_Tables_number 216
_symmetry_space_group_name_Hall 'F -4 2 3'
loop_
_atom_site_label
_atom_site_type_symbol
_atom_site_fract_x
_atom_site_fract_y
_atom_site_fract_z
Li1 Li 0.000 0.000 0.000
Ac1 Ac 0.000 0.000 0.500
Tb1 Tb 0.250 0.250 0.750
Pr1 Pr 0.250 0.250 0.250
```

- What is the formula in the fifth record?
  K3Sm2USe6